A relaxed Ti7GaRh4 crystal. Source: Alexandria via LeMat-Bulk, functional PBE-GGA.

Output
- DFT formation energy: -0.281 eV per atom

abc: 6.486 6.486 8.860
angles: 123.91 123.91 43.46
Positions (direct):
Ti (0.000, 0.000, 0.000)
Ti (0.168, 0.168, 0.615)
Ti (0.289, 0.289, 0.132)
Ti (0.436, 0.436, 0.653)
Ti (0.564, 0.564, 0.347)
Ti (0.711, 0.711, 0.868)
Ti (0.832, 0.832, 0.385)
Ga (0.500, 0.500, 0.000)
Rh (0.067, 0.067, 0.780)
Rh (0.215, 0.215, 0.348)
Rh (0.785, 0.785, 0.652)
Rh (0.933, 0.933, 0.220)